Material: CdGa12
Method: DFT, PBE-GGA
State: optimized geometry

Calculated values
DOS(E_F) (states/eV per cell): 8.1
Electronic total energy (hartree per atom): -0.0938
Mass density (Mg/m³): 4.24
Calculated volume (Å³ per atom): 28.6

Lattice parameters (Å, degrees): 7.1883 7.1883 7.1883 90.00 90.00 90.00
Sites, in units of the cell vectors:
Cd: 0.5000 0.5000 0.5000
Ga: 0.2504 0.0000 0.5000
Ga: 0.7496 0.0000 0.5000
Ga: 0.0000 0.5000 0.2504
Ga: 0.0000 0.5000 0.7496
Ga: 0.5000 0.2504 0.0000
Ga: 0.5000 0.7496 0.0000
Ga: 0.0000 0.7496 0.5000
Ga: 0.0000 0.2504 0.5000
Ga: 0.7496 0.5000 0.0000
Ga: 0.2504 0.5000 0.0000
Ga: 0.5000 0.0000 0.7496
Ga: 0.5000 0.0000 0.2504